1.
{"formula": "BaMg2Ta", "functional": "GGA-PBE", "state": "optimized geometry", "e_above_lowest_polymorph_ev_per_fu": 0.91, "energy_ev_per_atom": -3.600, "formation_energy_ev_per_atom": 0.641, "dos_ef_per_ev_cell": 5.196, "lattice_angstrom": [[5.6160, -0.0051, 0.0113], [4.7556, 2.9871, 0.0113], [0.7652, 0.2200, 6.3498]], "species": ["Ta", "Ba", "Mg", "Mg"], "frac_coords": [[0.7500, 0.7500, 0.7500], [0.2500, 0.2500, 0.2500], [0.4847, 0.4847, 0.5590], [0.0153, 0.0153, 0.9410]]}



2.
{"formula": "BaMg2TaV", "functional": "GGA-PBE", "state": "optimized geometry", "energy_ev_per_atom": -4.438, "formation_energy_ev_per_atom": 0.779, "dos_ef_per_ev_cell": 8.620, "lattice_angstrom": [[5.6218, 0.0000, 0.0000], [0.0000, 4.6026, 0.0000], [0.0000, 0.0000, 5.6218]], "species": ["Mg", "Mg", "Ba", "V", "Ta"], "frac_coords": [[0.0000, 0.0000, 0.5000], [0.5000, 0.0000, 0.0000], [0.5000, 0.5000, 0.5000], [0.0000, 0.5000, 0.0000], [0.0000, 0.0000, 0.0000]]}



3.
{"formula": "Ba2TbMg", "functional": "GGA-PBE", "state": "optimized geometry", "energy_ev_per_atom": -2.159, "formation_energy_ev_per_atom": 0.359, "dos_ef_per_ev_cell": 5.272, "lattice_angstrom": [[3.7768, 0.0000, 0.0000], [1.8884, 3.2708, 0.0000], [1.8884, 1.0903, 13.2757]], "species": ["Ba", "Ba", "Mg", "Tb"], "frac_coords": [[0.9101, 0.9101, 0.2697], [0.0899, 0.0899, 0.7303], [0.5000, 0.5000, 0.5000], [0.0000, 0.0000, 0.0000]]}



4.
{"formula": "BaTb2Mg3", "functional": "GGA-PBE", "state": "optimized geometry", "energy_ev_per_atom": -2.713, "formation_energy_ev_per_atom": -0.051, "dos_ef_per_ev_cell": 5.281, "lattice_angstrom": [[-2.6186, -2.2155, -1.7823], [2.7044, -1.1921, -2.4914], [2.8593, -9.5538, 7.6752]], "species": ["Ba", "Tb", "Tb", "Mg", "Mg", "Mg"], "frac_coords": [[0.5000, 0.5000, 0.5000], [0.5000, 0.5000, 0.8562], [0.5000, 0.5000, 0.1438], [0.0000, 0.0000, 0.7048], [0.0000, 0.0000, 0.2952], [0.0000, 0.0000, 0.0000]]}



5.
{"formula": "BaTbMg", "functional": "GGA-PBE", "state": "optimized geometry", "e_above_lowest_polymorph_ev_per_fu": 0.15, "energy_ev_per_atom": -2.633, "formation_energy_ev_per_atom": 0.083, "dos_ef_per_ev_cell": 3.638, "lattice_angstrom": [[4.0174, 0.0000, 0.0000], [0.0000, 4.0174, 0.0000], [-2.0087, -2.0087, 6.9314]], "species": ["Ba", "Tb", "Mg"], "frac_coords": [[0.0119, 0.0119, 0.0237], [0.3022, 0.3022, 0.6044], [0.6859, 0.6859, 0.3719]]}



6.
{"formula": "BaTbMg", "functional": "GGA-PBE", "state": "optimized geometry", "e_above_lowest_polymorph_ev_per_fu": 0.00, "energy_ev_per_atom": -2.684, "formation_energy_ev_per_atom": 0.032, "dos_ef_per_ev_cell": 6.850, "lattice_angstrom": [[3.9091, 0.0000, 0.0000], [0.0000, 3.9091, 0.0000], [-1.9546, -1.9546, 14.9569]], "species": ["Ba", "Ba", "Mg", "Mg", "Tb", "Tb"], "frac_coords": [[0.5686, 0.5686, 0.1372], [0.4314, 0.4314, 0.8628], [0.8469, 0.8469, 0.6938], [0.1531, 0.1531, 0.3062], [0.2860, 0.2860, 0.5720], [0.7140, 0.7140, 0.4280]]}



7.
{"formula": "BaTbMg2Tl4", "functional": "GGA-PBE", "state": "optimized geometry", "energy_ev_per_atom": -2.667, "formation_energy_ev_per_atom": -0.266, "dos_ef_per_ev_cell": 4.370, "lattice_angstrom": [[-1.8054, -1.0534, 4.5417], [-4.4802, -2.1693, 0.4678], [2.7086, -11.0844, 1.2578]], "species": ["Mg", "Mg", "Ba", "Tl", "Tl", "Tl", "Tl", "Tb"], "frac_coords": [[0.2349, 0.2349, 0.2954], [0.7651, 0.7651, 0.7046], [0.0000, 0.0000, 0.0000], [0.8759, 0.8759, 0.3722], [0.1241, 0.1241, 0.6278], [0.3971, 0.3971, 0.8088], [0.6029, 0.6029, 0.1912], [0.5000, 0.5000, 0.5000]]}



8.
{"formula": "BaMgTc2", "functional": "GGA-PBE", "state": "optimized geometry", "energy_ev_per_atom": -5.404, "formation_energy_ev_per_atom": 0.659, "dos_ef_per_ev_cell": 5.052, "lattice_angstrom": [[-1.8724, 1.5522, 2.6688], [2.4779, -1.1065, 2.3820], [3.6610, 6.0957, -0.9768]], "species": ["Ba", "Mg", "Tc", "Tc"], "frac_coords": [[0.5000, 0.5000, 0.2500], [0.5000, 0.5000, 0.7500], [0.0000, 0.0000, 0.5960], [0.0000, 0.0000, 0.9040]]}



9.
{"formula": "BaMg2Tc", "functional": "GGA-PBE", "state": "optimized geometry", "e_above_lowest_polymorph_ev_per_fu": 1.20, "energy_ev_per_atom": -3.167, "formation_energy_ev_per_atom": 0.702, "dos_ef_per_ev_cell": 2.619, "lattice_angstrom": [[-3.0836, 3.9090, 2.4496], [-1.6586, -2.2976, 4.7707], [5.1338, 0.4061, -2.0661]], "species": ["Tc", "Mg", "Mg", "Ba"], "frac_coords": [[0.5000, 0.5000, 0.0000], [0.2500, 0.7500, 0.5000], [0.0000, 0.0000, 0.0000], [0.7500, 0.2500, 0.5000]]}



10.
{"formula": "BaMg2Tc", "functional": "GGA-PBE", "state": "optimized geometry", "e_above_lowest_polymorph_ev_per_fu": 1.55, "energy_ev_per_atom": -3.080, "formation_energy_ev_per_atom": 0.789, "dos_ef_per_ev_cell": 4.051, "lattice_angstrom": [[5.3252, 0.0000, 0.0000], [0.0000, 5.3252, 0.0000], [0.0000, 0.0000, 3.4012]], "species": ["Mg", "Mg", "Tc", "Ba"], "frac_coords": [[0.0000, 0.0000, 0.0000], [0.5000, 0.5000, 0.0000], [0.5000, 0.0000, 0.5000], [0.0000, 0.5000, 0.5000]]}



11.
{"formula": "Ba2MgTc", "functional": "GGA-PBE", "state": "optimized geometry", "energy_ev_per_atom": -3.364, "formation_energy_ev_per_atom": 0.588, "dos_ef_per_ev_cell": 4.571, "lattice_angstrom": [[-2.5015, -2.1895, -6.2566], [0.2113, -4.5186, -5.4529], [-3.8527, -4.3689, 0.3434]], "species": ["Mg", "Ba", "Ba", "Tc"], "frac_coords": [[0.5664, 0.5664, 0.4332], [0.9475, 0.9475, 0.0523], [0.7544, 0.7544, 0.7457], [0.2317, 0.2317, 0.2688]]}



12.
{"formula": "BaMgTc2", "functional": "GGA-PBE", "state": "optimized geometry", "energy_ev_per_atom": -5.764, "formation_energy_ev_per_atom": 0.298, "dos_ef_per_ev_cell": 2.994, "lattice_angstrom": [[-0.7086, -3.1206, 2.8296], [3.2829, -2.1935, 1.6304], [1.3300, 2.6444, 6.4710]], "species": ["Ba", "Mg", "Tc", "Tc"], "frac_coords": [[0.5118, 0.5118, 0.4657], [0.7076, 0.7076, 0.8765], [0.3015, 0.3015, 0.0952], [0.9791, 0.9791, 0.0626]]}



13.
{"formula": "Ba2MgTc", "functional": "GGA-PBE", "state": "optimized geometry", "energy_ev_per_atom": -3.145, "formation_energy_ev_per_atom": 0.806, "dos_ef_per_ev_cell": 1.914, "lattice_angstrom": [[-0.7036, 11.0918, -1.1801], [-1.5247, 10.7889, 2.4882], [2.0734, 10.8975, 1.3641]], "species": ["Ba", "Ba", "Tc", "Mg"], "frac_coords": [[0.4846, 0.4846, 0.4846], [0.0154, 0.0154, 0.0154], [0.7500, 0.7500, 0.7500], [0.2500, 0.2500, 0.2500]]}



14.
{"formula": "BaMg2Tc", "functional": "GGA-PBE", "state": "optimized geometry", "e_above_lowest_polymorph_ev_per_fu": 0.28, "energy_ev_per_atom": -3.399, "formation_energy_ev_per_atom": 0.471, "dos_ef_per_ev_cell": 4.199, "lattice_angstrom": [[3.6073, 0.0000, 0.0000], [0.0000, 3.6073, 0.0000], [0.0000, 0.0000, 8.0976]], "species": ["Tc", "Mg", "Mg", "Ba"], "frac_coords": [[0.0000, 0.0000, 0.4235], [0.0000, 0.0000, 0.0761], [0.5000, 0.5000, 0.2939], [0.5000, 0.5000, 0.7065]]}



15.
{"formula": "BaMg2Tc", "functional": "GGA-PBE", "state": "optimized geometry", "e_above_lowest_polymorph_ev_per_fu": 1.00, "energy_ev_per_atom": -3.219, "formation_energy_ev_per_atom": 0.651, "dos_ef_per_ev_cell": 4.150, "lattice_angstrom": [[5.1803, 0.0000, 0.0000], [2.5901, 4.4862, 0.0000], [2.5901, 1.4954, 4.2297]], "species": ["Ba", "Tc", "Mg", "Mg"], "frac_coords": [[0.0000, 0.0000, 0.0000], [0.5000, 0.5000, 0.5000], [0.2500, 0.2500, 0.2500], [0.7500, 0.7500, 0.7500]]}



16.
{"formula": "BaMgTc2", "functional": "GGA-PBE", "state": "optimized geometry", "energy_ev_per_atom": -5.072, "formation_energy_ev_per_atom": 0.990, "dos_ef_per_ev_cell": 4.393, "lattice_angstrom": [[2.8674, 0.0000, 0.0000], [0.0000, 2.8674, 0.0000], [0.0000, 0.0000, 9.9200]], "species": ["Mg", "Tc", "Tc", "Ba"], "frac_coords": [[0.5000, 0.5000, 0.7500], [0.0000, 0.0000, 0.5382], [0.0000, 0.0000, 0.9618], [0.5000, 0.5000, 0.2500]]}



17.
{"formula": "Ba2Mg2Tc", "functional": "GGA-PBE", "state": "optimized geometry", "e_above_lowest_polymorph_ev_per_fu": 0.00, "energy_ev_per_atom": -2.916, "formation_energy_ev_per_atom": 0.564, "dos_ef_per_ev_cell": 10.623, "lattice_angstrom": [[-5.7163, 1.0671, -4.7042], [-4.6977, -2.8877, 5.0533], [-0.8408, 5.2332, 2.2089]], "species": ["Ba", "Ba", "Ba", "Ba", "Mg", "Mg", "Mg", "Mg", "Tc", "Tc"], "frac_coords": [[0.6862, 0.8138, 0.5000], [0.3138, 0.1862, 0.5000], [0.8138, 0.3138, 0.5000], [0.1862, 0.6862, 0.5000], [0.1479, 0.3521, 0.0000], [0.6479, 0.1479, 0.0000], [0.8521, 0.6479, 0.0000], [0.3521, 0.8521, 0.0000], [0.0000, 0.0000, 0.0000], [0.5000, 0.5000, 0.0000]]}



18.
{"formula": "BaMgTc2", "functional": "GGA-PBE", "state": "optimized geometry", "energy_ev_per_atom": -4.884, "formation_energy_ev_per_atom": 1.178, "dos_ef_per_ev_cell": 4.506, "lattice_angstrom": [[-3.3239, -3.5815, -2.3516], [2.4299, -4.8206, -0.5136], [-0.6173, 3.3692, 4.2039]], "species": ["Mg", "Tc", "Tc", "Ba"], "frac_coords": [[0.7500, 0.2500, 0.5000], [0.5000, 0.5000, 0.0000], [0.0000, 0.0000, 0.0000], [0.2500, 0.7500, 0.5000]]}



19.
{"formula": "BaMgTc2", "functional": "GGA-PBE", "state": "optimized geometry", "energy_ev_per_atom": -4.982, "formation_energy_ev_per_atom": 1.081, "dos_ef_per_ev_cell": 4.828, "lattice_angstrom": [[-3.6438, -1.2060, 4.2083], [-0.5007, -2.9682, -4.8353], [0.9331, -2.7495, 0.8600]], "species": ["Ba", "Mg", "Tc", "Tc"], "frac_coords": [[0.5000, 0.0000, 0.5000], [0.0000, 0.5000, 0.5000], [0.5000, 0.5000, 0.0000], [0.0000, 0.0000, 0.0000]]}



20.
{"formula": "BaMg2Tc", "functional": "GGA-PBE", "state": "optimized geometry", "e_above_lowest_polymorph_ev_per_fu": 0.85, "energy_ev_per_atom": -3.256, "formation_energy_ev_per_atom": 0.613, "dos_ef_per_ev_cell": 5.118, "lattice_angstrom": [[-2.8872, 4.1531, -2.4360], [-5.4929, -0.9521, 0.6632], [4.2376, 0.0722, 3.6818]], "species": ["Mg", "Mg", "Tc", "Ba"], "frac_coords": [[0.5000, 0.5000, 0.0000], [0.0000, 0.0000, 0.0000], [0.2500, 0.7500, 0.5000], [0.7500, 0.2500, 0.5000]]}



21.
{"formula": "BaMgTc2", "functional": "GGA-PBE", "state": "optimized geometry", "energy_ev_per_atom": -5.376, "formation_energy_ev_per_atom": 0.686, "dos_ef_per_ev_cell": 3.052, "lattice_angstrom": [[5.5163, -0.9137, 0.4401], [-0.9457, 5.5109, 0.4401], [-1.9677, -1.9791, 2.8107]], "species": ["Tc", "Tc", "Mg", "Ba"], "frac_coords": [[0.0621, 0.9379, 0.0000], [0.2041, 0.7959, 0.5000], [0.7594, 0.2406, 0.5000], [0.4744, 0.5256, 0.0000]]}



22.
{"formula": "BaMg2Tc", "functional": "GGA-PBE", "state": "optimized geometry", "e_above_lowest_polymorph_ev_per_fu": 0.57, "energy_ev_per_atom": -3.327, "formation_energy_ev_per_atom": 0.543, "dos_ef_per_ev_cell": 3.546, "lattice_angstrom": [[5.0152, -0.0002, 0.0250], [3.9092, 3.1417, 0.0250], [0.9965, 0.3508, 6.9870]], "species": ["Mg", "Mg", "Tc", "Ba"], "frac_coords": [[0.2416, 0.2416, 0.2863], [0.9909, 0.9909, 0.0964], [0.5064, 0.5064, 0.4047], [0.7611, 0.7611, 0.7126]]}



23.
{"formula": "Ba2MgTc", "functional": "GGA-PBE", "state": "optimized geometry", "energy_ev_per_atom": -3.203, "formation_energy_ev_per_atom": 0.748, "dos_ef_per_ev_cell": 5.290, "lattice_angstrom": [[5.9458, -0.0001, 0.0000], [1.5467, 5.7412, 0.0000], [-3.7463, -2.8705, 3.6165]], "species": ["Ba", "Ba", "Mg", "Tc"], "frac_coords": [[0.2500, 0.7500, 0.5000], [0.0000, 0.0000, 0.0000], [0.5000, 0.5000, 0.0000], [0.7500, 0.2500, 0.5000]]}



24.
{"formula": "Ba2MgTc", "functional": "GGA-PBE", "state": "optimized geometry", "energy_ev_per_atom": -3.382, "formation_energy_ev_per_atom": 0.569, "dos_ef_per_ev_cell": 3.864, "lattice_angstrom": [[4.9148, 0.0000, 0.0000], [0.0000, 4.7967, 0.0022], [0.0000, 2.3898, 6.2323]], "species": ["Mg", "Ba", "Ba", "Tc"], "frac_coords": [[0.0000, 0.6756, 0.5233], [0.0000, 0.9809, 0.9138], [0.5000, 0.2630, 0.3487], [0.5000, 0.5805, 0.7142]]}



25.
{"formula": "BaMg2Tc", "functional": "GGA-PBE", "state": "optimized geometry", "e_above_lowest_polymorph_ev_per_fu": 1.28, "energy_ev_per_atom": -3.147, "formation_energy_ev_per_atom": 0.722, "dos_ef_per_ev_cell": 3.140, "lattice_angstrom": [[-1.2459, -4.7109, -0.8014], [1.3218, 0.3914, -4.3557], [4.2186, -1.3134, 1.1622]], "species": ["Mg", "Mg", "Ba", "Tc"], "frac_coords": [[0.0000, 0.0000, 0.0000], [0.0000, 0.5000, 0.5000], [0.5000, 0.0000, 0.5000], [0.5000, 0.5000, 0.0000]]}



26.
{"formula": "BaMgTc3", "functional": "GGA-PBE", "state": "optimized geometry", "e_above_lowest_polymorph_ev_per_fu": 4.46, "energy_ev_per_atom": -4.271, "formation_energy_ev_per_atom": 2.653, "dos_ef_per_ev_cell": 5.203, "lattice_angstrom": [[-1.6951, -0.7747, 4.7069], [-3.8728, -2.6929, -1.8379], [2.7850, -4.2162, 0.3090]], "species": ["Ba", "Tc", "Tc", "Tc", "Mg"], "frac_coords": [[0.0000, 0.0000, 0.0000], [0.5000, 0.0000, 0.0000], [0.0000, 0.0000, 0.5000], [0.0000, 0.5000, 0.0000], [0.5000, 0.5000, 0.5000]]}



27.
{"formula": "BaMgTc2", "functional": "GGA-PBE", "state": "optimized geometry", "energy_ev_per_atom": -4.944, "formation_energy_ev_per_atom": 1.118, "dos_ef_per_ev_cell": 4.427, "lattice_angstrom": [[-0.2396, -0.5838, 3.1926], [-3.2348, -3.8839, -0.9529], [3.7534, -3.0580, -0.2776]], "species": ["Tc", "Tc", "Mg", "Ba"], "frac_coords": [[0.0000, 0.0000, 0.0000], [0.5000, 0.5000, 0.0000], [0.0000, 0.5000, 0.5000], [0.5000, 0.0000, 0.5000]]}



28.
{"formula": "Ba2MgTc", "functional": "GGA-PBE", "state": "optimized geometry", "energy_ev_per_atom": -3.438, "formation_energy_ev_per_atom": 0.513, "dos_ef_per_ev_cell": 5.523, "lattice_angstrom": [[-1.2260, 2.5633, 2.5242], [0.7593, -2.4223, 2.8287], [8.6327, 3.4781, 0.6610]], "species": ["Tc", "Ba", "Ba", "Mg"], "frac_coords": [[0.5000, 0.5000, 0.6688], [0.5000, 0.5000, 0.3340], [0.0000, 0.0000, 0.9157], [0.0000, 0.0000, 0.5815]]}



29.
{"formula": "BaMg3Tc", "functional": "GGA-PBE", "state": "optimized geometry", "e_above_lowest_polymorph_ev_per_fu": 8.28, "energy_ev_per_atom": -1.470, "formation_energy_ev_per_atom": 1.944, "dos_ef_per_ev_cell": 5.349, "lattice_angstrom": [[-1.7964, 5.8710, -0.1637], [-5.8070, -1.8010, -0.8707], [-0.8803, -0.0999, 6.0776]], "species": ["Tc", "Mg", "Mg", "Mg", "Ba"], "frac_coords": [[0.5000, 0.5000, 0.5000], [0.0000, 0.5000, 0.0000], [0.0000, 0.0000, 0.5000], [0.5000, 0.0000, 0.0000], [0.0000, 0.0000, 0.0000]]}



30.
{"formula": "BaMgTc4", "functional": "GGA-PBE", "state": "optimized geometry", "energy_ev_per_atom": -6.843, "formation_energy_ev_per_atom": 0.654, "dos_ef_per_ev_cell": 6.571, "lattice_angstrom": [[0.0000, 3.8592, 3.8592], [3.8592, 0.0000, 3.8592], [3.8592, 3.8592, 0.0000]], "species": ["Tc", "Tc", "Tc", "Tc", "Mg", "Ba"], "frac_coords": [[0.3745, 0.3745, 0.3745], [0.8764, 0.3745, 0.3745], [0.3745, 0.3745, 0.8764], [0.3745, 0.8764, 0.3745], [0.0000, 0.0000, 0.0000], [0.7500, 0.7500, 0.7500]]}